1.
{"formula": "Na3HPd", "functional": "GGA-PBE", "state": "optimized geometry", "lattice_angstrom": [[-2.125, -3.991, 0.687], [2.291, -1.825, -3.513], [3.340, -1.288, 2.847]], "species": ["H", "Na", "Na", "Na", "Pd"], "frac_coords": [[0.000, 0.000, 0.000], [0.000, 0.000, 0.500], [0.500, 0.000, 0.000], [0.000, 0.500, 0.000], [0.500, 0.500, 0.500]], "crystal_system": "cubic", "space_group": "Pm-3m, No. 221", "relative_energy_kj_per_mol_fu": 18}

2.
{"formula": "Na4H5Pd", "functional": "GGA-PBE", "state": "optimized geometry", "lattice_angstrom": [[5.219, 0.000, 0.000], [2.609, 4.980, 0.000], [2.609, 0.000, 4.980]], "species": ["Na", "Na", "Na", "Na", "H", "H", "H", "H", "H", "Pd"], "frac_coords": [[0.635, 0.609, 0.180], [0.424, 0.391, 0.820], [0.244, 0.180, 0.391], [0.815, 0.820, 0.609], [0.057, 0.692, 0.178], [0.748, 0.178, 0.308], [0.386, 0.000, 0.000], [0.234, 0.822, 0.692], [0.926, 0.308, 0.822], [0.040, 0.000, 0.000]], "crystal_system": "tetragonal", "space_group": "I4, No. 79", "total_energy_ev_per_atom": -2.877}